No. 1
The following is a GGA-PBE calculation of an optimized crystal structure of Ce5PaRu6, from Alexandria via LeMat-Bulk.

a b c (Å): 5.8505 7.3401 7.5835
angles (deg): 61.06 78.27 65.16
Last column: nearest neighbours and their distance in Å.
Sites, in units of the cell vectors:
Ce (0.5000, 0.1414, 0.7172)  2 Ru 2.60
Ce (0.0000, 0.3035, 0.3930)  6 Ru 2.77-3.06
Ce (0.5000, 0.5000, 0.0000)  4 Ru 2.73
Ce (0.0000, 0.6965, 0.6070)  6 Ru 2.77-3.06
Ce (0.5000, 0.8586, 0.2828)  2 Ru 2.60
Pa (0.0000, 0.0000, 0.0000)  2 Ru 2.39
Ru (0.6702, 0.1029, 0.3382)  3 Ce 2.60-2.77
Ru (0.3298, 0.5589, 0.3382)  3 Ce 2.60-2.77
Ru (0.1093, 0.2798, 0.0000)  1 Pa 2.39
Ru (0.8907, 0.7202, 0.0000)  1 Pa 2.39
Ru (0.6702, 0.4411, 0.6618)  3 Ce 2.60-2.77
Ru (0.3298, 0.8971, 0.6618)  3 Ce 2.60-2.77

* D(E_F): 12.24 states/eV per cell
* formation energy from the elements: -0.3507 eV/atom
* DFT total energy: -8.25 eV per atom

No. 2
The following is a GGA-PBE calculation of an optimized crystal structure of K2ZnSb, from Alexandria via LeMat-Bulk.

a b c (Å): 5.4564 11.6219 6.5932
angles (deg): 115.47 114.44 90.00
Last column: nearest neighbours and their distance in Å.
Sites, in units of the cell vectors:
K (0.2180, 0.5918, 0.3611)  3 Zn 3.62-3.97, 3 Sb 3.62-3.68, 2 K 3.84-4.01
K (0.7820, 0.4082, 0.6389)  3 Zn 3.62-3.97, 3 Sb 3.62-3.68, 2 K 3.84-4.01
K (0.1431, 0.0918, 0.3611)  3 Zn 3.62-3.97, 3 Sb 3.62-3.68, 2 K 3.84-4.01
K (0.8569, 0.9082, 0.6389)  3 Zn 3.62-3.97, 3 Sb 3.62-3.68, 2 K 3.84-4.01
Zn (0.2996, 0.7500, 0.0000)  2 Sb 2.72-2.73
Zn (0.7004, 0.2500, 0.0000)  2 Sb 2.72-2.73
Sb (0.2011, 0.2500, 0.0000)  2 Zn 2.72-2.73
Sb (0.7989, 0.7500, 0.0000)  2 Zn 2.72-2.73

* D(E_F): 1.68 states/eV per cell
* formation energy (no corrections): -0.9 eV/f.u.
* DFT total energy: -2.13 eV per atom